Entry from Alexandria: a geometry-optimized La2AgPC structure (GGA-PBE).

Unit cell a=5.6453 b=5.6453 c=3.7183 alpha=90.00 beta=90.00 gamma=90.00
Space group P4/mmm (No. 123)
Unique sites:
1 La 0.0000 0.5000 0.0000 (multiplicity 2)
2 Ag 0.0000 0.0000 0.5000 (multiplicity 1)
3 P 0.5000 0.5000 0.0000 (multiplicity 1)
4 C 0.5000 0.5000 0.5000 (multiplicity 1)

Total magnetic moment (μB per atom): 0.00
DFT total energy (eV/atom): -5.3047
Formation enthalpy at 0 K (eV per atom): 0.1632
Distance to the lowest polymorph of the same formula (eV/f.u.): 0.00